Entry 1:
Entry from Alexandria: a crystal of Sr2LaSc relaxed with PBEsol (meta-GGA SCAN).

ΔH_f (0 K) = 30 kJ/mol of atoms
Calculated total energy = -100.7 eV per cell
Magnetic moment = 0.99 μB per formula unit
SG = Pmmm (47)
Mass density = 4.0 g/cm3

Lattice parameters (Å, degrees): 4.161 5.902 6.076 90.00 90.00 90.00
Element x y z (fractional)
Sr 0.000 0.000 0.000
Sr 0.500 0.500 0.000
La 0.000 0.500 0.500
Sc 0.500 0.000 0.500

Entry 2:
Entry from Alexandria: a crystal of BeReHg relaxed with PBEsol (meta-GGA SCAN).

ΔH_f (0 K) = 73 kJ/mol of atoms
Calculated total energy = -141.4 eV per cell
Magnetic moment = 0.00 μB per formula unit
SG = P-6m2 (187)
Mass density = 15.1 g/cm3
Relative energy among the computed polymorphs = 0.177 eV per atom

Lattice parameters (Å, degrees): 4.285 4.285 2.736 90.00 90.00 120.00
Element x y z (fractional)
Be 0.000 0.000 0.000
Re 0.333 0.667 0.500
Hg 0.667 0.333 0.000

Entry 3:
Entry from Alexandria: a crystal of ZrTaB2 relaxed with PBEsol (meta-GGA SCAN).

ΔH_f (0 K) = 45 kJ/mol of atoms
Calculated total energy = -441.0 eV per cell
Magnetic moment = 0.00 μB per formula unit
SG = I-42d (122)
Mass density = 7.4 g/cm3

Lattice parameters (Å, degrees): 5.061 5.061 10.318 90.00 90.00 90.00
Element x y z (fractional)
Zr 0.000 0.000 0.000
Zr 0.000 0.500 0.250
Zr 0.500 0.000 0.750
Zr 0.500 0.500 0.500
Ta 0.000 0.000 0.500
Ta 0.000 0.500 0.750
Ta 0.500 0.000 0.250
Ta 0.500 0.500 0.000
B 0.227 0.250 0.625
B 0.250 0.727 0.875
B 0.250 0.773 0.375
B 0.273 0.250 0.125
B 0.727 0.750 0.125
B 0.750 0.227 0.375
B 0.750 0.273 0.875
B 0.773 0.750 0.625

Entry 4:
Entry from Alexandria: a crystal of LaTaBr relaxed with PBEsol (meta-GGA SCAN).

Calculated total energy = -128.1 eV per cell
Energy relative to the elements, uncorrected = 0.35 eV per atom
Magnetic moment = 0.00 μB per formula unit
SG = P-6m2 (187)
Mass density = 9.8 g/cm3
Relative energy among the computed polymorphs = 0.279 eV per atom

Lattice parameters (Å, degrees): 4.884 4.884 3.277 90.00 90.00 120.00
Element x y z (fractional)
La 0.000 0.000 0.000
Ta 0.333 0.667 0.500
Br 0.667 0.333 0.500

Entry 5:
Entry from Alexandria: a crystal of Y2AlTc2 relaxed with PBEsol (meta-GGA SCAN).

ΔH_f (0 K) = -23 kJ/mol of atoms
Calculated total energy = -269.5 eV per cell
Magnetic moment = 0.30 μB per formula unit
SG = P4/mbm (127)
Mass density = 6.6 g/cm3

Lattice parameters (Å, degrees): 6.712 6.712 4.499 90.00 90.00 90.00
Element x y z (fractional)
Y 0.178 0.322 0.000
Y 0.322 0.822 0.000
Y 0.678 0.178 0.000
Y 0.822 0.678 0.000
Al 0.000 0.000 0.500
Al 0.500 0.500 0.500
Tc 0.121 0.621 0.500
Tc 0.379 0.121 0.500
Tc 0.621 0.879 0.500
Tc 0.879 0.379 0.500

Entry 6:
Entry from Alexandria: a crystal of YScSeBr2 relaxed with PBEsol (meta-GGA SCAN).

Calculated total energy = -106.5 eV per cell
Energy relative to the elements, uncorrected = -1.09 eV per atom
Magnetic moment = 1.40 μB per formula unit
SG = P4/mmm (123)
Mass density = 4.7 g/cm3

Lattice parameters (Å, degrees): 5.051 5.051 5.200 90.00 90.00 90.00
Element x y z (fractional)
Y 0.000 0.000 0.000
Sc 0.500 0.500 0.500
Se 0.500 0.500 0.000
Br 0.000 0.500 0.500
Br 0.500 0.000 0.500